a.
The following is a DFT calculation (PBE) of an optimized crystal structure of TiMoIr.

Output
- DOS at the Fermi energy (states/eV/f.u.) = 3.141

Lattice parameters (Å, degrees): 2.8049 2.8049 11.9083 90.00 90.00 90.00
Last column: nearest neighbours and their distance in Å.
Space group I4mm (No. 107)
One atom of each set of equivalent atoms:
1 Ti 0.0000 0.0000 0.0000 x2  4 Ir 2.72, 4 Ti 2.80, 4 Mo 2.96
2 Mo 0.0000 0.0000 0.3159 x2  4 Ir 2.75, 4 Mo 2.80, 4 Ti 2.96
3 Ir 0.0000 0.0000 0.6562 x2  4 Ti 2.72, 4 Mo 2.75, 4 Ir 2.80

***

b.
The following is a DFT calculation (PBE) of an optimized crystal structure of TiMoIr.

Output
- DOS at the Fermi energy (states/eV/f.u.) = 2.272

Lattice parameters (Å, degrees): 4.6213 3.0057 6.8334 90.00 104.23 90.00
Last column: nearest neighbours and their distance in Å.
Space group Pm (No. 6)
One atom of each set of equivalent atoms:
1 Ti 0.0000 0.0000 0.0000 x1  3 Mo 2.70-2.79, 6 Ir 2.72-2.80, 2 Ti 3.01
2 Ti 0.3741 0.0000 0.6673 x1  4 Ir 2.62, 4 Mo 2.75-2.76
3 Mo 0.7469 0.0000 0.3311 x1  2 Mo 2.65, 6 Ir 2.75-2.78, 1 Ti 2.79
4 Mo 0.8702 0.5000 0.6610 x1  2 Mo 2.65, 6 Ti 2.70-2.76
5 Ir 0.2490 0.5000 0.3425 x1  4 Ti 2.62-2.78, 4 Mo 2.75-2.77, 1 Ir 2.87
6 Ir 0.4866 0.5000 0.9914 x1  6 Ti 2.62-2.80, 2 Mo 2.78, 1 Ir 2.87

***

Relative energy of each structure, in meV per atom: a 119; b 0.

***

a.
The following is a DFT calculation (PBE) of an optimized crystal structure of LiLa2TcPb.

Output
- DOS at the Fermi energy (states/eV/f.u.) = 4.482

Lattice parameters (Å, degrees): 5.3619 5.3619 4.5771 90.00 90.00 90.00
Last column: nearest neighbours and their distance in Å.
Space group P4/mmm (No. 123)
One atom of each set of equivalent atoms:
1 Li 0.0000 0.0000 0.0000 x1  2 Pb 2.29
2 La 0.0000 0.5000 0.0000 x2  2 Li 2.68
3 Tc 0.5000 0.5000 0.5000 x1  8 La 3.52, 4 Pb 3.79
4 Pb 0.0000 0.0000 0.5000 x1  2 Li 2.29

***

b.
The following is a DFT calculation (PBE) of an optimized crystal structure of LiLa2TcPb.

Output
- DOS at the Fermi energy (states/eV/f.u.) = 4.479

Lattice parameters (Å, degrees): 5.2677 5.2677 5.0628 90.00 90.00 90.00
Last column: nearest neighbours and their distance in Å.
Space group P4/mmm (No. 123)
One atom of each set of equivalent atoms:
1 Li 0.0000 0.0000 0.0000 x1  2 Tc 2.53
2 La 0.0000 0.5000 0.5000 x2  2 Tc 2.63
3 Tc 0.0000 0.0000 0.5000 x1  2 Li 2.53, 4 La 2.63
4 Pb 0.5000 0.5000 0.0000 x1  8 La 3.65, 4 Li 3.72

***

Relative energy of each structure, in meV per atom: a 638; b 0.

***

a.
The following is a DFT calculation (PBE) of an optimized crystal structure of SrTe2Rh.

Output
- DOS at the Fermi energy (states/eV/f.u.) = 3.122

Lattice parameters (Å, degrees): 4.0401 6.1625 9.1207 90.00 90.00 90.00
Last column: nearest neighbours and their distance in Å.
Space group Immm (No. 71)
One atom of each set of equivalent atoms:
1 Sr 0.0000 0.0000 0.0000 x2  8 Te 3.51, 4 Rh 3.68
2 Te 0.0000 0.5000 0.1852 x4  2 Rh 2.63
3 Rh 0.0000 0.0000 0.5000 x2  4 Te 2.63

***

b.
The following is a DFT calculation (PBE) of an optimized crystal structure of SrTe2Rh.

Output
- DOS at the Fermi energy (states/eV/f.u.) = 3.075

Lattice parameters (Å, degrees): 7.3316 7.3389 3.7294 90.00 90.00 90.00
Last column: nearest neighbours and their distance in Å.
Space group Cmmm (No. 65)
One atom of each set of equivalent atoms:
1 Sr 0.0000 0.0000 0.0000 x2  8 Te 3.19
2 Te 0.2500 0.2500 0.5000 x4  4 Rh 3.19, 4 Sr 3.19
3 Rh 0.0000 0.5000 0.0000 x2  8 Te 3.19

***

Relative energy of each structure, in meV per atom: a 0; b 282.

***

a.
The following is a DFT calculation (PBE) of an optimized crystal structure of ZnCuTe2.

Output
- DOS at the Fermi energy (states/eV/f.u.) = 1.353

Lattice parameters (Å, degrees): 7.5705 7.5779 3.0697 90.00 90.00 90.00
Last column: nearest neighbours and their distance in Å.
Space group Cmmm (No. 65)
One atom of each set of equivalent atoms:
1 Zn 0.0000 0.0000 0.0000 x2  2 Zn 3.07, 8 Te 3.09
2 Cu 0.0000 0.5000 0.0000 x2  2 Cu 3.07, 8 Te 3.09
3 Te 0.2500 0.2500 0.5000 x4  2 Te 3.07, 4 Cu 3.09, 4 Zn 3.09

***

b.
The following is a DFT calculation (PBE) of an optimized crystal structure of ZnCuTe2.

Output
- DOS at the Fermi energy (states/eV/f.u.) = 0.618

Lattice parameters (Å, degrees): 3.7267 3.7267 7.4271 90.00 90.00 90.00
Last column: nearest neighbours and their distance in Å.
Space group P4mm (No. 99)
One atom of each set of equivalent atoms:
1 Zn 0.0000 0.0000 0.0000 x1  5 Te 2.66-2.81
2 Cu 0.5000 0.5000 0.2352 x1  5 Te 2.71-2.79
3 Te 0.0000 0.0000 0.3583 x1  1 Zn 2.66, 4 Cu 2.79
4 Te 0.5000 0.5000 0.8700 x1  1 Cu 2.71, 4 Zn 2.81

***

Relative energy of each structure, in meV per atom: a 341; b 0.

***

a.
The following is a DFT calculation (PBE) of an optimized crystal structure of As2OsPt.

Output
- DOS at the Fermi energy (states/eV/f.u.) = 3.718

Lattice parameters (Å, degrees): 2.7381 4.7156 5.0650 90.00 90.94 90.00
Last column: nearest neighbours and their distance in Å.
Space group P2/m (No. 10)
One atom of each set of equivalent atoms:
1 As 0.1036 0.0000 0.2493 x2  4 As 2.58-2.74, 2 Os 2.69, 2 Pt 2.88
2 Os 0.0000 0.5000 0.0000 x1  4 As 2.69, 2 Os 2.74, 4 Pt 2.86-2.90
3 Pt 0.5000 0.5000 0.5000 x1  2 Pt 2.74, 4 Os 2.86-2.90, 4 As 2.88

***

b.
The following is a DFT calculation (PBE) of an optimized crystal structure of As2OsPt.

Output
- DOS at the Fermi energy (states/eV/f.u.) = 2.679

Lattice parameters (Å, degrees): 3.0343 3.0343 6.9600 90.00 90.00 90.00
Last column: nearest neighbours and their distance in Å.
Space group P4/mmm (No. 123)
One atom of each set of equivalent atoms:
1 As 0.0000 0.0000 0.2305 x2  4 Os 2.68, 4 Pt 2.85
2 Os 0.5000 0.5000 0.0000 x1  8 As 2.68
3 Pt 0.5000 0.5000 0.5000 x1  8 As 2.85, 4 Pt 3.03

***

Relative energy of each structure, in meV per atom: a 212; b 0.

***

a.
The following is a DFT calculation (PBE) of an optimized crystal structure of B2C.

Output
- DOS at the Fermi energy (states/eV/f.u.) = 0.063

Lattice parameters (Å, degrees): 3.3042 4.6388 5.2570 90.66 106.55 90.35
Last column: nearest neighbours and their distance in Å.
Space group P1 (No. 1)
One atom of each set of equivalent atoms:
1 B 0.0000 0.0000 0.0000 x1  1 C 1.61, 2 B 1.70-1.79
2 B 0.0450 0.1808 0.5638 x1  4 B 1.68-1.81
3 B 0.2593 0.4116 0.3747 x1  2 C 1.59-1.60, 1 B 1.75
4 B 0.3395 0.8846 0.6681 x1  2 C 1.60-1.62, 2 B 1.69-1.78
5 B 0.6284 0.2136 0.7633 x1  1 C 1.65, 3 B 1.78-1.82
6 B 0.7153 0.9588 0.2988 x1  2 C 1.63-1.66, 1 B 1.81
7 B 0.8472 0.5034 0.6120 x1  2 C 1.63, 2 B 1.68-1.82
8 B 0.9307 0.6648 0.1083 x1  2 C 1.66-1.73, 1 B 1.70
9 C 0.1796 0.6678 0.8603 x1  1 C 1.60, 3 B 1.62-1.73
10 C 0.3765 0.2129 0.1578 x1  1 C 1.56, 3 B 1.59-1.66
11 C 0.4887 0.7205 0.4414 x1  4 B 1.60-1.63
12 C 0.5353 0.4351 0.9865 x1  2 C 1.56-1.60, 2 B 1.65-1.66

***

b.
The following is a DFT calculation (PBE) of an optimized crystal structure of B2C.

Output
- DOS at the Fermi energy (states/eV/f.u.) = 0.114

Lattice parameters (Å, degrees): 3.5576 4.4137 5.3508 90.16 100.71 90.95
Last column: nearest neighbours and their distance in Å.
Space group P-1 (No. 2)
One atom of each set of equivalent atoms:
1 B 0.0955 0.1038 0.2648 x2  3 B 1.70-1.85, 1 C 1.77
2 B 0.1653 0.4497 0.1397 x2  1 C 1.58, 2 B 1.70-1.73
3 B 0.1738 0.1982 0.8924 x2  1 C 1.59, 2 B 1.73-1.75
4 B 0.3986 0.8270 0.4629 x2  2 C 1.58-1.70, 1 B 1.69
5 C 0.1293 0.5913 0.6104 x2  2 C 1.57, 1 B 1.70
6 C 0.4539 0.3747 0.7412 x2  1 C 1.57, 3 B 1.58-1.59

***

Relative energy of each structure, in meV per atom: a 0; b 29.

***

a.
The following is a DFT calculation (PBE) of an optimized crystal structure of MoSeBr2.

Output
- DOS at the Fermi energy (states/eV/f.u.) = 3.140

Lattice parameters (Å, degrees): 3.0959 3.0959 9.2803 90.00 90.00 90.00
Last column: nearest neighbours and their distance in Å.
Space group P4/mmm (No. 123)
One atom of each set of equivalent atoms:
1 Mo 0.0000 0.0000 0.0000 x1  8 Br 2.72
2 Se 0.0000 0.0000 0.5000 x1  4 Se 3.10
3 Br 0.5000 0.5000 0.1738 x2  4 Mo 2.72

***

b.
The following is a DFT calculation (PBE) of an optimized crystal structure of MoSeBr2.

Output
- DOS at the Fermi energy (states/eV/f.u.) = 2.809

Lattice parameters (Å, degrees): 3.6133 4.4399 5.9428 90.00 90.00 90.00
Last column: nearest neighbours and their distance in Å.
Space group Pmmm (No. 47)
One atom of each set of equivalent atoms:
1 Mo 0.0000 0.0000 0.0000 x1  4 Br 2.86
2 Se 0.5000 0.0000 0.5000 x1  4 Br 2.86
3 Br 0.0000 0.5000 0.5000 x1  4 Se 2.86
4 Br 0.5000 0.5000 0.0000 x1  4 Mo 2.86

***

Relative energy of each structure, in meV per atom: a 0; b 395.

***

a.
The following is a DFT calculation (PBE) of an optimized crystal structure of HgSeBr.

Lattice parameters (Å, degrees): 4.3495 6.5352 7.4384 77.87 89.72 72.20
Last column: nearest neighbours and their distance in Å.
Space group P-1 (No. 2)
One atom of each set of equivalent atoms:
1 Hg 0.0722 0.3430 0.2939 x2  2 Br 2.67-2.93, 2 Se 2.68
2 Se 0.4121 0.6876 0.9098 x2  1 Se 2.42, 2 Hg 2.68
3 Br 0.1355 0.2018 0.6603 x2  2 Hg 2.67-2.93

***

b.
The following is a DFT calculation (PBE) of an optimized crystal structure of HgSeBr.

Output
- DOS at the Fermi energy (states/eV/f.u.) = 3.695

Lattice parameters (Å, degrees): 4.1904 4.1904 5.3915 90.00 90.00 120.00
Last column: nearest neighbours and their distance in Å.
Space group P3m1 (No. 156)
One atom of each set of equivalent atoms:
1 Hg 0.0000 0.0000 0.0000 x1  3 Se 2.72, 3 Br 3.04
2 Se 0.6667 0.3333 0.2304 x1  3 Hg 2.72
3 Br 0.3333 0.6667 0.6590 x1  3 Hg 3.04, 3 Se 3.35

***

Relative energy of each structure, in meV per atom: a 0; b 302.